SmY2TcN4 after structural relaxation. Source: Alexandria, functional GGA-PBE.

POSCAR file:
```
SmY2TcN4
1.0
-3.3626 -0.3451 0.6731
0.6247 -0.6251 -6.0247
1.4456 -11.4710 1.3401
Sm Y Tc N
2 4 2 8
Cartesian
0.8164 -8.8054 -0.4367
-2.1087 -3.6358 -3.5749
0.0017 -6.7807 -3.4689
-1.9015 -0.8397 -1.1059
-1.2940 -5.6605 -0.5427
0.6092 -11.6016 -2.9057
-1.3614 -9.3528 -2.7727
0.0690 -3.0885 -1.2389
-0.3705 -1.9054 -2.8280
-1.2705 -7.7693 -1.5068
-0.9219 -10.5359 -1.1836
-0.0218 -4.6719 -2.5048
0.7228 -5.7355 0.6701
0.0000 0.0000 0.0000
0.1475 -9.3104 -4.0376
-1.4398 -3.1308 0.0261
```

Computed properties:
- VASP energy: -8.74 eV per atom
- Uncorrected formation energy: -1.07 eV/atom